First-principles (PBE) data for a relaxed CaCrP crystal, as listed in Alexandria.

final energy: -6.158 eV/atom
formation enthalpy at 0 K: -0.4796 eV/atom
space-group type: Cm, No. 8
Fermi-level density of states: 8.00 states/eV/cell
theoretical density: 3.17 g cm⁻³

a b c (Å): 9.996 3.903 6.778
angles (deg): 90.00 103.16 90.00
Each line ends with the local moment (μB).
Sites, in units of the cell vectors:
Ca: 0.027 0.500 0.352  0.02
Ca: 0.672 0.500 0.901  0.01
Ca: 0.027 0.000 0.852  0.02
Ca: 0.672 0.000 0.401  0.01
P: 0.199 0.000 0.578  0.06
P: 0.481 0.000 0.004  -0.02
P: 0.481 0.500 0.504  -0.02
P: 0.199 0.500 0.078  0.06
Cr: 0.322 0.000 0.285  -1.70
Cr: 0.322 0.500 0.785  -1.70
Cr: 0.431 0.500 0.154  1.64
Cr: 0.431 0.000 0.654  1.64